# 1
Tc2C | the Alexandria database | PBE | optimized geometry; crystal system = trigonal; SG = R3m, No. 160; ΔE to the lowest computed polymorph = 0.0 meV per atom
1.0
1.420 0.820 4.980
-1.420 0.820 4.980
0.000 -1.640 4.980
Tc C
2 1
Direct
0.000 0.000 0.000
0.186 0.186 0.186
0.763 0.763 0.763

=====

# 2
TlCd2In8 | the Alexandria database | PBE | optimized geometry; crystal system = monoclinic; SG = C2/m, No. 12
1.0
8.906 -2.296 0.000
8.906 2.296 0.000
-2.046 0.000 7.188
Tl Cd In
1 2 8
Direct
0.000 0.000 0.000
0.271 0.271 0.367
0.729 0.729 0.633
0.096 0.096 0.460
0.185 0.185 0.912
0.358 0.358 0.809
0.451 0.451 0.275
0.549 0.549 0.725
0.642 0.642 0.191
0.815 0.815 0.088
0.904 0.904 0.540

=====

# 3
Ca3InHg3 | the Alexandria database | PBE | optimized geometry; crystal system = monoclinic; SG = C2/m, No. 12; ΔE to the lowest computed polymorph = 0.0 meV per atom
1.0
6.037 -2.145 0.000
6.037 2.145 0.000
-4.945 0.000 15.484
Ca In Hg
6 2 6
Direct
0.004 0.004 0.378
0.114 0.114 0.924
0.233 0.233 0.223
0.767 0.767 0.777
0.886 0.886 0.076
0.996 0.996 0.622
0.280 0.280 0.622
0.720 0.720 0.378
0.368 0.368 0.467
0.385 0.385 0.925
0.497 0.497 0.775
0.503 0.503 0.225
0.615 0.615 0.075
0.632 0.632 0.533

=====

# 4
As2IrPb | the Alexandria database | PBE | optimized geometry; crystal system = tetragonal; SG = I-4m2, No. 119; ΔE to the lowest computed polymorph = 550.5 meV per atom
1.0
-2.230 2.230 3.947
2.230 -2.230 3.947
2.230 2.230 -3.947
As Ir Pb
2 1 1
Direct
0.000 0.000 0.000
0.750 0.250 0.500
0.250 0.750 0.500
0.500 0.500 0.000

=====

Number 1: DFT formation energy 74 meV/atom, calculated total energy -9.91 eV/atom, total magnetization 0.0 μB per cell. Number 2: DFT formation energy 26 meV/atom, calculated total energy -2.35 eV/atom, total magnetization 0.0 μB per cell. Number 3: DFT formation energy -456 meV/atom, calculated total energy -1.83 eV/atom, total magnetization 0.0 μB per cell. Number 4: DFT formation energy 496 meV/atom, calculated total energy -4.97 eV/atom, total magnetization 0.0 μB per cell.